[1]
## PmHgSb (PBE)

Data for a relaxed PmHgSb crystal.

```
PmHgSb
1.0
-2.3771 0.3523 4.5631
-4.6344 2.2386 0.3272
-4.1835 -2.8602 0.9557
Hg Pm Sb
1 1 1
direct
0.5000 0.5000 0.5000
0.0000 0.0000 0.0000
0.2500 0.2500 0.2500
```

final energy = -3.3632 eV per atom
magnetization = 0.0 μB/f.u.
crystal system = cubic

***

[2]
## GdSnAuS3 (PBE)

Data for a relaxed GdSnAuS3 crystal.

```
GdSnAuS3
1.0
-5.2368 4.1874 -8.0324
-3.9155 3.4677 4.3605
-0.7762 5.7783 3.5184
Au Gd S Sn
2 2 6 2
direct
0.0000 0.4554 0.4554
0.5000 0.5446 0.5446
0.2500 0.0000 0.0000
0.7500 0.0000 0.0000
0.0000 0.0924 0.0924
0.1979 0.3557 0.3557
0.8021 0.3557 0.3557
0.3021 0.6443 0.6443
0.6979 0.6443 0.6443
0.5000 0.9076 0.9076
0.5000 0.2493 0.2493
0.0000 0.7507 0.7507
```

final energy = -4.9573 eV per atom
magnetization = 0.0 μB/f.u.
crystal system = orthorhombic

***

[3]
## TbSmZn2Sn2 (PBE)

Data for a relaxed TbSmZn2Sn2 crystal.

```
TbSmZn2Sn2
1.0
4.5373 0.0000 0.0000
-2.2686 3.9294 0.0000
0.0000 0.0000 15.9999
Sm Sn Tb Zn
2 4 2 4
direct
0.0000 0.0000 0.2500
0.0000 0.0000 0.7500
0.6667 0.3333 0.1128
0.6667 0.3333 0.3872
0.3333 0.6667 0.6128
0.3333 0.6667 0.8872
0.0000 0.0000 0.0000
0.0000 0.0000 0.5000
0.3333 0.6667 0.1574
0.3333 0.6667 0.3426
0.6667 0.3333 0.6574
0.6667 0.3333 0.8426
```

final energy = -3.9246 eV per atom
magnetization = 0.0 μB/f.u.
crystal system = hexagonal